[1]
This record from the Alexandria database describes crystalline Na3Tl12Pt5 at its relaxed geometry. The functional is PBE.

Output
The calculation puts the total magnetization at 0.0 μB per cell. Its total energy is -3.042 eV/atom.

```
data_Na3Tl12Pt5
_cell_length_a 17.2529
_cell_length_b 17.2529
_cell_length_c 17.2529
_cell_angle_alpha 90.00
_cell_angle_beta 90.00
_cell_angle_gamma 90.00
_space_group_name_H-M_alt 'I a -3 d'
_space_group_IT_number 230
_space_group_name_Hall '-I 4bd 2c 3'
loop_
_atom_site_label
_atom_site_fract_x
_atom_site_fract_y
_atom_site_fract_z
Na1 0.0000 0.2500 0.1250
Tl1 0.0444 0.0711 0.6373
Pt1 0.0000 0.0000 0.0000
Pt2 0.0000 0.2500 0.3750
```

---

[2]
This record from the Alexandria database describes crystalline Na5Tl5Pt2 at its relaxed geometry. The functional is PBE.

Output
The calculation puts the total magnetization at 0.0 μB per cell. Its total energy is -2.710 eV/atom.

```
data_Na5Tl5Pt2
_cell_length_a 15.3007
_cell_length_b 4.9435
_cell_length_c 9.8349
_cell_angle_alpha 90.00
_cell_angle_beta 124.58
_cell_angle_gamma 90.00
_space_group_name_H-M_alt 'C 1 2/m 1'
_space_group_IT_number 12
_space_group_name_Hall '-C 2y'
loop_
_atom_site_label
_atom_site_fract_x
_atom_site_fract_y
_atom_site_fract_z
Na1 0.0000 0.0000 0.0000
Na2 0.0927 0.0000 0.7814
Na3 0.1830 0.0000 0.5486
Tl1 0.0000 0.5000 0.5000
Tl2 0.0673 0.5000 0.2384
Tl3 0.2413 0.5000 0.8373
Pt1 0.1477 0.5000 0.0362
```

---

[3]
This record from the Alexandria database describes crystalline Na5Tl2Pt at its relaxed geometry. The functional is PBE.

Output
The calculation puts the total magnetization at 0.0 μB per cell. Its total energy is -2.308 eV/atom.

```
data_Na5Tl2Pt
_cell_length_a 4.7170
_cell_length_b 11.2367
_cell_length_c 16.6792
_cell_angle_alpha 90.00
_cell_angle_beta 90.00
_cell_angle_gamma 90.00
_space_group_name_H-M_alt 'C m c m'
_space_group_IT_number 63
_space_group_name_Hall '-C 2c 2'
loop_
_atom_site_label
_atom_site_fract_x
_atom_site_fract_y
_atom_site_fract_z
Na1 0.0000 0.0205 0.2500
Na2 0.0000 0.1547 0.0437
Na3 0.0000 0.4491 0.1112
Tl1 0.0000 0.2493 0.6552
Pt1 0.0000 0.2837 0.2500
```